No. 1
VASP calculation (PBE-GGA) on a relaxed Ac2Nd3Er2 crystal.

Summary:
* electronic total energy: -4.232 eV/atom
* N(E_F): 1.745 states/eV/atom

```
Ac2Nd3Er2
1.0
-4.009 3.295 1.886
-4.070 -6.910 -4.662
-1.600 -4.160 3.868
Nd Ac Er
3 2 2
direct
0.238 0.475 0.765
0.762 0.525 0.235
0.000 0.000 0.000
0.890 0.780 0.609
0.110 0.220 0.391
0.390 0.780 0.111
0.610 0.220 0.889
```

=====

No. 2
VASP calculation (PBE-GGA) on a relaxed SmTmThZn crystal.

Summary:
* electronic total energy: -4.627 eV/atom
* offset from the most stable computed form: 0.0 meV/atom
* N(E_F): 1.366 states/eV/atom

```
SmTmThZn
1.0
3.570 0.000 0.000
0.000 3.570 0.000
0.000 0.000 8.579
Th Tm Zn Sm
1 1 1 1
direct
0.000 0.000 0.079
0.500 0.500 0.361
0.000 0.000 0.560
0.500 0.500 0.785
```

=====

Number 1: formation energy from the elements 0.289 eV per atom, volume 38.92 Å³/atom, density 7.44 Mg/m³. Number 2: formation energy from the elements -0.156 eV per atom, volume 27.34 Å³/atom, density 9.36 Mg/m³.